The following is a DFT calculation (GGA-PBE) of an optimized crystal structure of Cs3NaSn.

POSCAR file:
```
Cs3NaSn
1.0
7.348 0.000 0.000
0.000 7.348 0.000
0.000 0.000 7.348
Cs Na Sn
3 1 1
direct
0.000 0.000 0.500
0.000 0.500 0.000
0.500 0.000 0.000
0.000 0.000 0.000
0.500 0.500 0.500
```

Computed properties:
- DFT total energy: -6.17 eV per cell
- DOS at the Fermi energy: 4.05 states/eV/cell
- ΔE to the lowest computed polymorph: 8.75 kcal/mol of atoms
- Calculated formation energy: 0.34 eV per atom